Version i
An optimized crystal structure of MgRu2Cl. Source: Alexandria via LeMat-Bulk, functional PBE.

POSCAR file:
```
MgRu2Cl
1.0
4.959 0.000 0.000
0.000 3.048 -0.001
0.000 -0.084 4.362
Mg Ru Cl
1 2 1
Cartesian
2.480 2.224 3.271
0.000 0.137 4.328
0.000 1.262 2.214
2.480 0.741 1.090
```

=====

Version ii
An optimized crystal structure of MgRu2Cl. Source: Alexandria via LeMat-Bulk, functional PBE.

POSCAR file:
```
MgRu2Cl
1.0
5.635 -0.013 -0.016
4.897 2.788 -0.016
0.189 0.050 4.120
Cl Ru Mg
1 2 1
Cartesian
8.040 2.118 3.066
5.770 1.520 1.957
10.122 2.667 0.054
2.680 0.706 1.022
```

=====

Result of the stability comparison: version i is the least stable of them.

=====

Version i
An optimized crystal structure of Mg2RuCl. Source: Alexandria via LeMat-Bulk, functional PBE.

POSCAR file:
```
Mg2RuCl
1.0
-2.901 -4.398 0.228
2.365 -3.599 3.044
-2.169 4.806 -0.061
Mg Cl Ru
2 1 1
Cartesian
-0.006 -0.089 0.037
-0.262 -3.909 1.599
-0.036 -1.395 2.310
-2.669 -1.795 0.902
```

=====

Version ii
An optimized crystal structure of Mg2RuCl. Source: Alexandria via LeMat-Bulk, functional PBE.

POSCAR file:
```
Mg2RuCl
1.0
5.753 0.000 0.000
3.290 4.720 0.000
-4.522 -2.360 2.662
Ru Mg Cl
1 2 1
Cartesian
4.522 2.360 0.000
0.000 0.000 0.000
1.645 2.360 1.331
2.877 0.000 1.331
```

=====

Version iii
An optimized crystal structure of Mg2RuCl. Source: Alexandria via LeMat-Bulk, functional PBE.

POSCAR file:
```
Mg2RuCl
1.0
-0.338 1.960 2.177
-4.199 -1.550 0.743
1.994 -3.670 3.614
Ru Cl Mg
1 1 2
Cartesian
0.826 -1.521 1.497
-0.602 -2.862 4.480
-1.646 -0.942 2.590
1.869 -3.440 3.387
```

=====

Version iv
An optimized crystal structure of Mg2RuCl. Source: Alexandria via LeMat-Bulk, functional PBE.

POSCAR file:
```
Mg2RuCl
1.0
-1.815 -2.218 -4.535
0.081 -4.201 -3.335
-3.756 -2.663 1.536
Mg Ru Cl
2 1 1
Cartesian
-3.624 -2.624 1.391
-1.629 -2.262 -1.164
-2.516 -4.276 -3.091
-4.223 -7.123 -5.100
```

=====

Result of the stability comparison: version i is the least stable of them.

=====

Version i
An optimized crystal structure of Mg2RuCl. Source: Alexandria via LeMat-Bulk, functional PBE.

POSCAR file:
```
Mg2RuCl
1.0
-2.734 0.009 1.247
0.070 -2.999 0.174
3.878 0.583 8.500
Ru Mg Cl
1 2 1
Cartesian
1.734 0.261 3.801
-0.334 -1.345 2.900
3.784 0.569 8.295
1.845 -1.017 7.675
```

=====

Version ii
An optimized crystal structure of Mg2RuCl. Source: Alexandria via LeMat-Bulk, functional PBE.

POSCAR file:
```
Mg2RuCl
1.0
-2.685 -1.420 0.377
0.802 -0.699 3.074
-3.101 6.470 2.277
Cl Ru Mg
1 1 2
Cartesian
-3.067 3.618 4.202
-1.917 0.733 1.527
0.499 -0.312 2.379
-0.847 2.497 3.370
```

=====

Version iii
An optimized crystal structure of Mg2RuCl. Source: Alexandria via LeMat-Bulk, functional PBE.

POSCAR file:
```
Mg2RuCl
1.0
-2.453 3.321 4.868
0.672 -0.830 6.294
2.373 0.989 -5.843
Cl Mg Ru
1 2 1
Cartesian
0.962 0.862 3.733
-0.367 2.612 1.561
-0.021 0.029 0.130
-0.874 1.222 5.475
```

=====

Result of the stability comparison: version i is the least stable of them.

=====

Version i
An optimized crystal structure of Mg2RuCl. Source: Alexandria via LeMat-Bulk, functional PBE.

POSCAR file:
```
Mg2RuCl
1.0
0.000 3.338 3.338
3.338 0.000 3.338
3.338 3.338 0.000
Mg Cl Ru
2 1 1
Cartesian
5.007 5.007 5.007
1.669 1.669 1.669
0.000 0.000 0.000
3.338 3.338 3.338
```

=====

Version ii
An optimized crystal structure of Mg2RuCl. Source: Alexandria via LeMat-Bulk, functional PBE.

POSCAR file:
```
Mg2RuCl
1.0
5.074 -0.002 0.000
1.786 4.749 0.000
-3.430 -2.374 2.889
Mg Ru Cl
2 1 1
Cartesian
3.430 2.374 0.000
0.000 0.000 0.000
0.893 2.375 1.444
2.537 -0.001 1.444
```

=====

Result of the stability comparison: version i is the least stable of them.

=====

Version i
An optimized crystal structure of Mg2RuCl. Source: Alexandria via LeMat-Bulk, functional PBE.

POSCAR file:
```
Mg2RuCl
1.0
3.212 -0.033 -0.005
1.591 2.790 -0.005
1.519 0.872 7.924
Mg Cl Ru
2 1 1
Cartesian
4.753 2.728 0.085
3.212 1.844 3.862
4.742 2.722 5.936
1.581 0.907 1.979
```

=====

Version ii
An optimized crystal structure of Mg2RuCl. Source: Alexandria via LeMat-Bulk, functional PBE.

POSCAR file:
```
Mg2RuCl
1.0
-3.569 2.960 0.050
-4.348 -1.611 0.022
-2.610 0.421 3.810
Mg Cl Ru
2 1 1
Cartesian
0.000 0.000 0.000
-2.632 0.443 0.971
-5.263 0.885 1.941
-7.895 1.328 2.912
```

=====

Version iii
An optimized crystal structure of Mg2RuCl. Source: Alexandria via LeMat-Bulk, functional PBE.

POSCAR file:
```
Mg2RuCl
1.0
-0.970 -4.294 1.956
2.620 -1.027 -0.957
1.779 1.578 4.346
Ru Mg Cl
1 2 1
Cartesian
2.282 0.062 1.267
0.326 -1.695 2.372
1.918 1.377 3.974
2.882 -1.634 3.773
```

=====

Result of the stability comparison: version ii is the least stable of them.

=====

Version i
An optimized crystal structure of Mg3RuCl. Source: Alexandria via LeMat-Bulk, functional PBE.

POSCAR file:
```
Mg3RuCl
1.0
4.698 0.000 0.000
0.000 4.698 0.000
0.000 0.000 4.698
Ru Mg Cl
1 3 1
Cartesian
2.349 2.349 2.349
0.000 0.000 2.349
2.349 0.000 0.000
0.000 2.349 0.000
0.000 0.000 0.000
```

=====

Version ii
An optimized crystal structure of Mg3RuCl. Source: Alexandria via LeMat-Bulk, functional PBE.

POSCAR file:
```
Mg3RuCl
1.0
4.997 0.000 0.000
0.000 4.997 0.000
0.000 0.000 4.997
Cl Mg Ru
1 3 1
Cartesian
2.498 2.498 2.498
0.000 0.000 2.498
0.000 2.498 0.000
2.498 0.000 0.000
0.000 0.000 0.000
```

=====

Result of the stability comparison: version i is the least stable of them.

=====

Version i
An optimized crystal structure of MgRuCl6. Source: Alexandria via LeMat-Bulk, functional PBE.

POSCAR file:
```
MgRuCl6
1.0
6.170 0.009 0.008
3.079 5.346 0.011
3.077 1.778 5.520
Cl Mg Ru
6 1 1
Cartesian
8.271 3.684 1.355
5.211 1.688 1.349
4.055 3.450 4.184
7.314 1.799 4.187
7.115 5.446 4.191
5.012 5.334 1.353
6.163 3.567 2.770
0.000 0.000 0.000
```

=====

Version ii
An optimized crystal structure of MgRuCl6. Source: Alexandria via LeMat-Bulk, functional PBE.

POSCAR file:
```
MgRuCl6
1.0
6.709 -0.385 -1.233
-2.401 6.277 -1.233
0.397 0.542 6.121
Mg Cl Ru
1 6 1
Cartesian
0.198 0.271 3.061
6.038 1.458 0.072
-0.441 6.196 0.072
5.146 0.238 3.583
1.409 1.927 4.508
-1.333 4.976 3.583
3.296 4.507 -0.854
0.000 0.000 0.000
```

=====

Result of the stability comparison: version i is the least stable of them.

=====

Version i
An optimized crystal structure of MgRuSCl2. Source: Alexandria via LeMat-Bulk, functional PBE.

POSCAR file:
```
MgRuSCl2
1.0
4.417 0.000 0.000
0.000 9.095 0.000
0.000 0.000 4.417
Ru Cl Mg S
1 2 1 1
Cartesian
0.000 4.548 0.000
0.000 0.000 2.209
2.209 0.000 0.000
0.000 0.000 0.000
2.209 4.548 2.209
```

=====

Version ii
An optimized crystal structure of MgRuSCl2. Source: Alexandria via LeMat-Bulk, functional PBE.

POSCAR file:
```
MgRuSCl2
1.0
4.893 0.000 0.000
0.000 4.893 0.000
0.000 0.000 4.511
S Ru Cl Mg
1 1 2 1
Cartesian
0.000 0.000 2.256
0.000 0.000 0.000
0.000 2.447 0.000
2.447 0.000 0.000
2.447 2.447 2.256
```

=====

Version iii
An optimized crystal structure of MgRuSCl2. Source: Alexandria via LeMat-Bulk, functional PBE.

POSCAR file:
```
MgRuSCl2
1.0
4.671 0.000 0.000
0.000 4.671 0.000
0.000 0.000 5.151
Mg S Cl Ru
1 1 2 1
Cartesian
0.000 0.000 0.000
0.000 0.000 2.575
2.335 0.000 0.000
0.000 2.335 0.000
2.335 2.335 2.575
```

=====

Result of the stability comparison: version i is the least stable of them.